P) # TaCrFe

A relaxed TaCrFe crystal (GGA-PBE, Alexandria via LeMat-Bulk).

Cell: 6.5345 6.3677 2.6551 Å, 81.67 74.62 23.71°
Sites, in units of the cell vectors:
Ta  0.0000  0.0000  0.0000
Cr  0.6765  0.6765  0.3235
Fe  0.3254  0.3254  0.6746

Calculated values
Total magnetic moment = 1.9 μB per cell
SG = Fmm2, No. 42

Q) # TaCrFe

A relaxed TaCrFe crystal (GGA-PBE, Alexandria via LeMat-Bulk).

Cell: 6.5333 6.5333 4.1960 Å, 90.00 90.00 152.70°
Sites, in units of the cell vectors:
Ta  0.0877  0.9123  0.7500
Ta  0.9123  0.0877  0.2500
Cr  0.4106  0.5894  0.7500
Cr  0.5894  0.4106  0.2500
Fe  0.2437  0.7563  0.2500
Fe  0.7563  0.2437  0.7500

Calculated values
Total magnetic moment = 3.6 μB per cell
SG = Cmcm, No. 63

Which structure is the least stable? The one labeled P).